[1]
Here is an optimized crystal structure of SrSc2TaIn from the Alexandria database. Energies are from PBEsol.

## Properties
E_form	6.40	eV/f.u.
raw total energy	-4.837	eV per atom
mass density	4815	kg/m3

abc: 5.3023 5.3023 5.8055
angles: 90.00 90.00 90.00
Last column: magnetic moment on the atom in μB.
Fractional coordinates of all 5 atoms:
Sc1 0.5000 0.0000 0.0000  0.37
Sc2 0.0000 0.5000 0.0000  0.37
Sr1 0.0000 0.0000 0.5000  0.08
In1 0.0000 0.0000 0.0000  0.05
Ta1 0.5000 0.5000 0.5000  2.02



[2]
Here is an optimized crystal structure of Sc2TaIn from the Alexandria database. Energies are from PBEsol.

## Properties
E_form	0.24	eV/f.u.
raw total energy	-7.125	eV per atom
mass density	7586	kg/m3

abc: 3.1164 3.1164 10.1978
angles: 81.21 81.21 60.00
Last column: magnetic moment on the atom in μB.
Fractional coordinates of all 4 atoms:
Sc1 0.9978 0.9978 0.0066  0.35
Sc2 0.7551 0.7551 0.7347  0.11
In1 0.2471 0.2471 0.2586  0.00
Ta1 0.5000 0.5000 0.5001  0.03



[3]
Here is an optimized crystal structure of ScTa2In from the Alexandria database. Energies are from PBEsol.

## Properties
E_form	0.67	eV/f.u.
raw total energy	-8.505	eV per atom
mass density	11236	kg/m3

abc: 2.8807 2.8807 9.3146
angles: 90.00 90.00 94.12
Fractional coordinates of all 4 atoms:
Ta1 0.0000 0.0000 0.7441
Ta2 0.0000 0.0000 0.2559
In1 0.5000 0.5000 0.5000
Sc1 0.5000 0.5000 0.0000



[4]
Here is an optimized crystal structure of ScTa2In from the Alexandria database. Energies are from PBEsol.

## Properties
E_form	0.41	eV/f.u.
raw total energy	-8.570	eV per atom
mass density	11371	kg/m3

abc: 2.8794 5.5290 5.6530
angles: 116.14 99.30 100.97
Fractional coordinates of all 4 atoms:
In1 0.0000 0.5000 0.0000
Ta1 0.0000 0.0000 0.5000
Ta2 0.5000 0.5000 0.5000
Sc1 0.5000 0.0000 0.0000



[5]
Here is an optimized crystal structure of ScTa2In from the Alexandria database. Energies are from PBEsol.

## Properties
E_form	0.40	eV/f.u.
raw total energy	-8.574	eV per atom
mass density	11237	kg/m3

abc: 2.9567 5.0878 5.3993
angles: 97.00 90.00 106.89
Fractional coordinates of all 4 atoms:
Ta1 0.9930 0.9861 0.9825
Ta2 0.2472 0.4945 0.7667
Sc1 0.7550 0.5100 0.2543
In1 0.5047 0.0094 0.4965



[6]
Here is an optimized crystal structure of ScTa3In from the Alexandria database. Energies are from PBEsol.

## Properties
E_form	8.60	eV/f.u.
raw total energy	-7.727	eV per atom
mass density	11166	kg/m3

abc: 4.7100 4.7100 4.7100
angles: 90.00 90.00 90.00
Fractional coordinates of all 5 atoms:
In1 0.5000 0.5000 0.5000
Sc1 0.0000 0.0000 0.0000
Ta1 0.5000 0.0000 0.0000
Ta2 0.0000 0.0000 0.5000
Ta3 0.0000 0.5000 0.0000